Record 1
## Nb2Ni2Ge3 (PBE)

Data for a relaxed structure of Nb2Ni2Ge3.

Lattice parameters (Å, degrees): 8.635 8.635 8.635 26.37 26.37 26.37
Sites, in units of the cell vectors:
Nb1 0.247 0.247 0.247
Nb2 0.756 0.756 0.756
Ni1 0.500 0.500 0.500
Ni2 0.003 0.003 0.003
Ge1 0.376 0.376 0.376
Ge2 0.857 0.857 0.857
Ge3 0.636 0.636 0.636

Properties
Energy ... -6.49 eV per atom

Record 2
## Y3TmNi4 (PBE)

Data for a relaxed structure of Y3TmNi4.

Lattice parameters (Å, degrees): 5.414 4.174 7.044 90.00 90.01 90.00
Sites, in units of the cell vectors:
Ni1 0.624 0.000 0.038
Ni2 0.125 0.500 0.462
Ni3 0.875 0.000 0.538
Ni4 0.375 0.500 0.962
Y1 0.630 0.500 0.320
Y2 0.130 0.000 0.180
Y3 0.870 0.500 0.820
Tm1 0.370 0.000 0.680

Properties
Formation energy ... -0.46 eV/atom

Record 3
## MoC (PBE)

Data for a relaxed structure of MoC.

Lattice parameters (Å, degrees): 3.317 3.317 3.317 60.00 60.00 60.00
Sites, in units of the cell vectors:
C1 0.000 0.000 0.000
Mo1 0.250 0.250 0.250

Properties
Energy ... -9.54 eV per atom

Record 4
## Cs2PtN2 (PBE)

Data for a relaxed structure of Cs2PtN2.

Lattice parameters (Å, degrees): 6.979 6.979 6.251 90.00 90.00 127.71
Sites, in units of the cell vectors:
Cs1 0.243 0.757 0.250
Cs2 0.757 0.243 0.750
Cs3 0.573 0.427 0.250
Cs4 0.427 0.573 0.750
N1 0.011 0.216 0.250
N2 0.784 0.989 0.250
N3 0.989 0.784 0.750
N4 0.216 0.011 0.750
Pt1 0.000 0.000 0.000
Pt2 0.000 0.000 0.500

Properties
Energy ... -4.68 eV per atom